Density functional theory data (PBE) for crystalline CuTe2Cl at its relaxed geometry.

```
CuTe2Cl
1.0
-1.735 -3.064 -0.009
1.439 -0.806 -3.114
5.779 -3.282 3.520
Te Cu Cl
2 1 1
Direct
0.000 0.000 0.940
0.000 0.000 0.560
0.500 0.500 0.750
0.500 0.500 0.250
```

Properties
Its calculated volume is 93 Å³/cell. The space group is P4/mmm, No. 123. Its energy relative to the elements, uncorrected is 1.19 kcal/mol of atoms.